A relaxed Li2GaIrO6 crystal. Source: Alexandria, functional GGA-PBE.

a b c (Å): 5.0854 5.2220 8.9520
angles (deg): 90.00 124.33 90.00
With the nearest neighbours (Å) after each atom.
Atoms (fractional coordinates):
Li 0.2452 0.0432 0.2476  4 O 1.99-2.20
Li 0.2452 0.4568 0.7476  4 O 1.99-2.20
Li 0.7548 0.5432 0.2524  4 O 1.99-2.20
Li 0.7548 0.9568 0.7524  4 O 1.99-2.20
Ga 0.0000 0.0000 0.5000  6 O 1.98-2.00
Ga 0.0000 0.5000 0.0000  6 O 1.98-2.00
Ir 0.5000 0.0000 0.0000  6 O 1.92-1.93
Ir 0.5000 0.5000 0.5000  6 O 1.92-1.93
O 0.1355 0.0505 0.7545  1 Ir 1.93, 1 Li 1.99, 1 Ga 1.99
O 0.1355 0.4495 0.2545  1 Ir 1.93, 1 Li 1.99, 1 Ga 1.99
O 0.2387 0.6747 0.5595  1 Ir 1.92, 1 Ga 1.98, 1 Li 2.02
O 0.2387 0.8253 0.0595  1 Ir 1.92, 1 Ga 1.98, 1 Li 2.02
O 0.3976 0.1839 0.5656  1 Ir 1.92, 1 Ga 2.00, 1 Li 2.02
O 0.3976 0.3161 0.0656  1 Ir 1.92, 1 Ga 2.00, 1 Li 2.02
O 0.6024 0.6839 0.9344  1 Ir 1.92, 1 Ga 2.00, 1 Li 2.02
O 0.6024 0.8161 0.4344  1 Ir 1.92, 1 Ga 2.00, 1 Li 2.02
O 0.7613 0.1747 0.9405  1 Ir 1.92, 1 Ga 1.98, 1 Li 2.02
O 0.7613 0.3253 0.4405  1 Ir 1.92, 1 Ga 1.98, 1 Li 2.02
O 0.8645 0.5505 0.7455  1 Ir 1.93, 1 Li 1.99, 1 Ga 1.99
O 0.8645 0.9495 0.2455  1 Ir 1.93, 1 Li 1.99, 1 Ga 1.99

Formation energy without anion corrections (eV/atom): -1.262


A relaxed LiGaIrOs crystal. Source: Alexandria, functional GGA-PBE.

a b c (Å): 6.0508 6.0508 6.0508
angles (deg): 90.00 90.00 90.00
With the nearest neighbours (Å) after each atom.
Atoms (fractional coordinates):
Li 0.0000 0.0000 0.0000  4 Ga 2.62, 4 Os 2.62
Li 0.0000 0.5000 0.5000  4 Os 2.62, 4 Ga 2.62
Li 0.5000 0.0000 0.5000  4 Os 2.62, 4 Ga 2.62
Li 0.5000 0.5000 0.0000  4 Ga 2.62, 4 Os 2.62
Ga 0.2500 0.2500 0.7500  4 Li 2.62, 4 Ir 2.62
Ga 0.2500 0.7500 0.2500  4 Li 2.62, 4 Ir 2.62
Ga 0.7500 0.2500 0.2500  4 Li 2.62, 4 Ir 2.62
Ga 0.7500 0.7500 0.7500  4 Li 2.62, 4 Ir 2.62
Ir 0.0000 0.0000 0.5000  4 Os 2.62, 4 Ga 2.62
Ir 0.0000 0.5000 0.0000  4 Os 2.62, 4 Ga 2.62
Ir 0.5000 0.0000 0.0000  4 Os 2.62, 4 Ga 2.62
Ir 0.5000 0.5000 0.5000  4 Os 2.62, 4 Ga 2.62
Os 0.2500 0.2500 0.2500  4 Li 2.62, 4 Ir 2.62
Os 0.2500 0.7500 0.7500  4 Li 2.62, 4 Ir 2.62
Os 0.7500 0.2500 0.7500  4 Li 2.62, 4 Ir 2.62
Os 0.7500 0.7500 0.2500  4 Li 2.62, 4 Ir 2.62

Energy of formation (eV/f.u.): 0.03


A relaxed LiPaGaIr crystal. Source: Alexandria, functional GGA-PBE.

a b c (Å): 6.5699 6.5699 6.5699
angles (deg): 90.00 90.00 90.00
With the nearest neighbours (Å) after each atom.
Atoms (fractional coordinates):
Li 0.0000 0.0000 0.0000  4 Pa 2.84, 4 Ga 2.84
Li 0.0000 0.5000 0.5000  4 Pa 2.84, 4 Ga 2.84
Li 0.5000 0.0000 0.5000  4 Pa 2.84, 4 Ga 2.84
Li 0.5000 0.5000 0.0000  4 Pa 2.84, 4 Ga 2.84
Pa 0.2500 0.2500 0.7500  4 Li 2.84, 4 Ir 2.84
Pa 0.2500 0.7500 0.2500  4 Li 2.84, 4 Ir 2.84
Pa 0.7500 0.2500 0.2500  4 Li 2.84, 4 Ir 2.84
Pa 0.7500 0.7500 0.7500  4 Li 2.84, 4 Ir 2.84
Ga 0.2500 0.2500 0.2500  4 Li 2.84, 4 Ir 2.84
Ga 0.2500 0.7500 0.7500  4 Li 2.84, 4 Ir 2.84
Ga 0.7500 0.2500 0.7500  4 Li 2.84, 4 Ir 2.84
Ga 0.7500 0.7500 0.2500  4 Li 2.84, 4 Ir 2.84
Ir 0.0000 0.0000 0.5000  4 Pa 2.84, 4 Ga 2.84
Ir 0.0000 0.5000 0.0000  4 Pa 2.84, 4 Ga 2.84
Ir 0.5000 0.0000 0.0000  4 Pa 2.84, 4 Ga 2.84
Ir 0.5000 0.5000 0.5000  4 Pa 2.84, 4 Ga 2.84

Energy of formation (eV/f.u.): -1.92


A relaxed LiGaIrPb crystal. Source: Alexandria, functional GGA-PBE.

a b c (Å): 6.5076 6.5076 6.5076
angles (deg): 90.00 90.00 90.00
With the nearest neighbours (Å) after each atom.
Atoms (fractional coordinates):
Li 0.0000 0.0000 0.0000  4 Pb 2.82, 4 Ga 2.82
Li 0.0000 0.5000 0.5000  4 Pb 2.82, 4 Ga 2.82
Li 0.5000 0.0000 0.5000  4 Pb 2.82, 4 Ga 2.82
Li 0.5000 0.5000 0.0000  4 Pb 2.82, 4 Ga 2.82
Ga 0.2500 0.2500 0.2500  4 Li 2.82, 4 Ir 2.82
Ga 0.2500 0.7500 0.7500  4 Li 2.82, 4 Ir 2.82
Ga 0.7500 0.2500 0.7500  4 Li 2.82, 4 Ir 2.82
Ga 0.7500 0.7500 0.2500  4 Li 2.82, 4 Ir 2.82
Ir 0.0000 0.0000 0.5000  4 Pb 2.82, 4 Ga 2.82
Ir 0.0000 0.5000 0.0000  4 Pb 2.82, 4 Ga 2.82
Ir 0.5000 0.0000 0.0000  4 Pb 2.82, 4 Ga 2.82
Ir 0.5000 0.5000 0.5000  4 Pb 2.82, 4 Ga 2.82
Pb 0.2500 0.2500 0.7500  4 Li 2.82, 4 Ir 2.82
Pb 0.2500 0.7500 0.2500  4 Li 2.82, 4 Ir 2.82
Pb 0.7500 0.2500 0.2500  4 Li 2.82, 4 Ir 2.82
Pb 0.7500 0.7500 0.7500  4 Li 2.82, 4 Ir 2.82

Energy of formation (eV/f.u.): -0.63


A relaxed Li2Ga5Ir2Pd crystal. Source: Alexandria, functional GGA-PBE.

a b c (Å): 9.2673 9.2673 3.7902
angles (deg): 90.00 90.00 90.00
With the nearest neighbours (Å) after each atom.
Atoms (fractional coordinates):
Li 0.1720 0.3280 0.0000  3 Ir 2.68-2.78, 2 Ga 2.94
Li 0.3280 0.8280 0.0000  3 Ir 2.68-2.78, 2 Ga 2.94
Li 0.6720 0.1720 0.0000  3 Ir 2.68-2.78, 2 Ga 2.94
Li 0.8280 0.6720 0.0000  3 Ir 2.68-2.78, 2 Ga 2.94
Ga 0.0000 0.5000 0.5000  4 Ir 2.49
Ga 0.0751 0.8028 0.5000  2 Ir 2.56, 2 Pd 2.72, 2 Ga 2.77
Ga 0.1972 0.0751 0.5000  2 Ir 2.56, 2 Pd 2.72, 2 Ga 2.77
Ga 0.3028 0.5751 0.5000  2 Ir 2.56, 2 Pd 2.72, 2 Ga 2.77
Ga 0.4249 0.3028 0.5000  2 Ir 2.56, 2 Pd 2.72, 2 Ga 2.77
Ga 0.5000 0.0000 0.5000  4 Ir 2.49
Ga 0.5751 0.6972 0.5000  2 Ir 2.56, 2 Pd 2.72, 2 Ga 2.77
Ga 0.6972 0.4249 0.5000  2 Ir 2.56, 2 Pd 2.72, 2 Ga 2.77
Ga 0.8028 0.9249 0.5000  2 Ir 2.56, 2 Pd 2.72, 2 Ga 2.77
Ga 0.9249 0.1972 0.5000  2 Ir 2.56, 2 Pd 2.72, 2 Ga 2.77
Ir 0.1237 0.6237 0.0000  6 Ga 2.49-2.56, 3 Li 2.68-2.78
Ir 0.3763 0.1237 0.0000  6 Ga 2.49-2.56, 3 Li 2.68-2.78
Ir 0.6237 0.8763 0.0000  6 Ga 2.49-2.56, 3 Li 2.68-2.78
Ir 0.8763 0.3763 0.0000  6 Ga 2.49-2.56, 3 Li 2.68-2.78
Pd 0.0000 0.0000 0.0000  8 Ga 2.72
Pd 0.5000 0.5000 0.0000  8 Ga 2.72

Energy of formation (eV/f.u.): -3.42


A relaxed LiPmGa4Ir2 crystal. Source: Alexandria, functional GGA-PBE.

a b c (Å): 8.9013 8.9013 8.9013
angles (deg): 27.85 27.85 27.85
With the nearest neighbours (Å) after each atom.
Atoms (fractional coordinates):
Li 0.0000 0.0000 0.0000  8 Ga 2.53-2.63
Pm 0.5000 0.5000 0.5000  8 Ga 3.03-3.39
Ga 0.0985 0.0985 0.0985  1 Li 2.53, 3 Ir 2.59
Ga 0.3679 0.3679 0.3679  4 Ir 2.62-2.65, 3 Li 2.63
Ga 0.6321 0.6321 0.6321  4 Ir 2.62-2.65, 3 Li 2.63
Ga 0.9015 0.9015 0.9015  1 Li 2.53, 3 Ir 2.59
Ir 0.2646 0.2646 0.2646  7 Ga 2.59-2.65
Ir 0.7354 0.7354 0.7354  7 Ga 2.59-2.65

Energy of formation (eV/f.u.): -4.63


A relaxed LiPm2Ga2Ir crystal. Source: Alexandria, functional GGA-PBE.

a b c (Å): 8.0885 8.0885 8.0885
angles (deg): 135.21 65.29 135.10
With the nearest neighbours (Å) after each atom.
Atoms (fractional coordinates):
Li 0.2500 0.2500 0.0000  4 Ga 2.57
Li 0.7500 0.7500 0.0000  4 Ga 2.57
Pm 0.1596 0.7380 0.8975  2 Ir 3.04, 2 Li 3.12, 5 Ga 3.13-3.25
Pm 0.3404 0.2380 0.5784  2 Ir 3.04, 2 Li 3.12, 5 Ga 3.13-3.25
Pm 0.6596 0.7620 0.4216  2 Ir 3.04, 2 Li 3.12, 5 Ga 3.13-3.25
Pm 0.8404 0.2620 0.1025  2 Ir 3.04, 2 Li 3.12, 5 Ga 3.13-3.25
Ga 0.1018 0.2472 0.3490  2 Li 2.57, 2 Ir 2.60
Ga 0.3982 0.7472 0.1454  2 Li 2.57, 2 Ir 2.60
Ga 0.6018 0.2528 0.8546  2 Li 2.57, 2 Ir 2.60
Ga 0.8982 0.7528 0.6510  2 Li 2.57, 2 Ir 2.60
Ir 0.2500 0.7500 0.5000  4 Ga 2.60
Ir 0.7500 0.2500 0.5000  4 Ga 2.60

Energy of formation (eV/f.u.): -3.25


A relaxed Li2PmGa4Ir crystal. Source: Alexandria, functional GGA-PBE.

a b c (Å): 9.3443 9.3443 9.3443
angles (deg): 26.29 26.29 26.29
With the nearest neighbours (Å) after each atom.
Atoms (fractional coordinates):
Li 0.2288 0.2288 0.2288  7 Ga 2.54-2.72
Li 0.7712 0.7712 0.7712  7 Ga 2.54-2.72
Pm 0.0000 0.0000 0.0000  8 Ga 3.11-3.47
Ga 0.1282 0.1282 0.1282  4 Li 2.54-2.72, 3 Ir 2.67
Ga 0.4037 0.4037 0.4037  1 Ir 2.60, 3 Li 2.62, 3 Ga 2.91
Ga 0.5963 0.5963 0.5963  1 Ir 2.60, 3 Li 2.62, 3 Ga 2.91
Ga 0.8718 0.8718 0.8718  4 Li 2.54-2.72, 3 Ir 2.67
Ir 0.5000 0.5000 0.5000  8 Ga 2.60-2.67

Energy of formation (eV/f.u.): -3.73


A relaxed LiPr2Ga3Ir4 crystal. Source: Alexandria, functional GGA-PBE.

a b c (Å): 4.1948 4.1948 10.6486
angles (deg): 90.00 90.00 90.00
With the nearest neighbours (Å) after each atom.
Atoms (fractional coordinates):
Li 0.0000 0.0000 0.0000  4 Ir 2.57
Pr 0.0000 0.5000 0.7492  8 Ir 3.20-3.38, 6 Ga 3.24-3.40, 2 Li 3.40
Pr 0.5000 0.0000 0.2508  8 Ir 3.20-3.38, 6 Ga 3.24-3.40, 2 Li 3.40
Ga 0.0000 0.5000 0.3734  5 Ir 2.49
Ga 0.5000 0.0000 0.6266  5 Ir 2.49
Ga 0.5000 0.5000 0.0000  4 Ir 2.57
Ir 0.0000 0.0000 0.5000  4 Ga 2.49
Ir 0.0000 0.5000 0.1392  3 Ga 2.49-2.57, 2 Li 2.57
Ir 0.5000 0.0000 0.8608  3 Ga 2.49-2.57, 2 Li 2.57
Ir 0.5000 0.5000 0.5000  4 Ga 2.49

Energy of formation (eV/f.u.): -6.22


A relaxed Li2Ga5Ir2Rh crystal. Source: Alexandria, functional GGA-PBE.

a b c (Å): 9.4698 9.4698 3.6057
angles (deg): 90.00 90.00 90.00
With the nearest neighbours (Å) after each atom.
Atoms (fractional coordinates):
Li 0.1707 0.3293 0.0000  3 Ir 2.71-2.85, 6 Ga 2.91-3.04
Li 0.3293 0.8293 0.0000  3 Ir 2.71-2.85, 6 Ga 2.91-3.04
Li 0.6707 0.1707 0.0000  3 Ir 2.71-2.85, 6 Ga 2.91-3.04
Li 0.8293 0.6707 0.0000  3 Ir 2.71-2.85, 6 Ga 2.91-3.04
Ga 0.0000 0.5000 0.5000  4 Ir 2.47
Ga 0.0717 0.8075 0.5000  2 Ir 2.54, 2 Rh 2.65, 2 Ga 2.75
Ga 0.1925 0.0717 0.5000  2 Ir 2.54, 2 Rh 2.65, 2 Ga 2.75
Ga 0.3075 0.5717 0.5000  2 Ir 2.54, 2 Rh 2.65, 2 Ga 2.75
Ga 0.4283 0.3075 0.5000  2 Ir 2.54, 2 Rh 2.65, 2 Ga 2.75
Ga 0.5000 0.0000 0.5000  4 Ir 2.47
Ga 0.5717 0.6925 0.5000  2 Ir 2.54, 2 Rh 2.65, 2 Ga 2.75
Ga 0.6925 0.4283 0.5000  2 Ir 2.54, 2 Rh 2.65, 2 Ga 2.75
Ga 0.8075 0.9283 0.5000  2 Ir 2.54, 2 Rh 2.65, 2 Ga 2.75
Ga 0.9283 0.1925 0.5000  2 Ir 2.54, 2 Rh 2.65, 2 Ga 2.75
Ir 0.1266 0.6266 0.0000  6 Ga 2.47-2.54, 1 Li 2.71
Ir 0.3734 0.1266 0.0000  6 Ga 2.47-2.54, 1 Li 2.71
Ir 0.6266 0.8734 0.0000  6 Ga 2.47-2.54, 1 Li 2.71
Ir 0.8734 0.3734 0.0000  6 Ga 2.47-2.54, 1 Li 2.71
Rh 0.0000 0.0000 0.0000  8 Ga 2.65
Rh 0.5000 0.5000 0.0000  8 Ga 2.65

Energy of formation (eV/f.u.): -3.61


Repeat the first record exactly.
A relaxed Li2GaIrO6 crystal. Source: Alexandria, functional GGA-PBE.

a b c (Å): 5.0854 5.2220 8.9520
angles (deg): 90.00 124.33 90.00
With the nearest neighbours (Å) after each atom.
Atoms (fractional coordinates):
Li 0.2452 0.0432 0.2476  4 O 1.99-2.20
Li 0.2452 0.4568 0.7476  4 O 1.99-2.20
Li 0.7548 0.5432 0.2524  4 O 1.99-2.20
Li 0.7548 0.9568 0.7524  4 O 1.99-2.20
Ga 0.0000 0.0000 0.5000  6 O 1.98-2.00
Ga 0.0000 0.5000 0.0000  6 O 1.98-2.00
Ir 0.5000 0.0000 0.0000  6 O 1.92-1.93
Ir 0.5000 0.5000 0.5000  6 O 1.92-1.93
O 0.1355 0.0505 0.7545  1 Ir 1.93, 1 Li 1.99, 1 Ga 1.99
O 0.1355 0.4495 0.2545  1 Ir 1.93, 1 Li 1.99, 1 Ga 1.99
O 0.2387 0.6747 0.5595  1 Ir 1.92, 1 Ga 1.98, 1 Li 2.02
O 0.2387 0.8253 0.0595  1 Ir 1.92, 1 Ga 1.98, 1 Li 2.02
O 0.3976 0.1839 0.5656  1 Ir 1.92, 1 Ga 2.00, 1 Li 2.02
O 0.3976 0.3161 0.0656  1 Ir 1.92, 1 Ga 2.00, 1 Li 2.02
O 0.6024 0.6839 0.9344  1 Ir 1.92, 1 Ga 2.00, 1 Li 2.02
O 0.6024 0.8161 0.4344  1 Ir 1.92, 1 Ga 2.00, 1 Li 2.02
O 0.7613 0.1747 0.9405  1 Ir 1.92, 1 Ga 1.98, 1 Li 2.02
O 0.7613 0.3253 0.4405  1 Ir 1.92, 1 Ga 1.98, 1 Li 2.02
O 0.8645 0.5505 0.7455  1 Ir 1.93, 1 Li 1.99, 1 Ga 1.99
O 0.8645 0.9495 0.2455  1 Ir 1.93, 1 Li 1.99, 1 Ga 1.99

Formation energy without anion corrections (eV/atom): -1.262